CuTeN2O | meta-GGA SCAN | single point on PBEsol structure

Unit cell a=3.4994 b=3.4994 c=5.9248 alpha=90.00 beta=90.00 gamma=90.00
Element x y z (fractional)
1 Cu 0.0000 0.0000 0.0000
2 Te 0.0000 0.0000 0.5000
3 N 0.0000 0.5000 0.0000
4 N 0.5000 0.0000 0.0000
5 O 0.5000 0.5000 0.5000

Computed properties:
As for the space group: P4/mmm. Its energy relative to the elements, uncorrected is 1.34 eV per atom.